Below is a geometry-optimized CdHPd3 structure, with properties calculated at the PBE-GGA level.

```
CdHPd3
1.0
6.7912 0.0000 -6.5368
2.1686 1.9883 -7.1525
-2.1686 1.9883 7.1525
Pd H Cd
6 2 2
Direct
0.3130 0.3136 0.6864 Pd
0.8139 0.8125 0.1875 Pd
0.5682 0.5591 0.4409 Pd
0.4318 0.4409 0.5591 Pd
0.6870 0.6864 0.3136 Pd
0.1861 0.1875 0.8125 Pd
0.5305 0.8878 0.1122 H
0.4695 0.1122 0.8878 H
0.9452 0.9314 0.0686 Cd
0.0548 0.0686 0.9314 Cd
```

energy above the lowest structure with this stoichiometry = 0.072 eV per atom
DOS(E_F) = 1.66 states/eV/f.u.

---

Below is a geometry-optimized LaMn2Rh2 structure, with properties calculated at the PBE-GGA level.

```
LaMn2Rh2
1.0
4.0348 0.0000 0.0000
0.0000 4.0348 0.0000
2.0174 2.0174 5.8668
Rh Mn La
2 2 1
Direct
0.3867 0.3867 0.2266 Rh
0.6133 0.6133 0.7734 Rh
0.7500 0.2500 0.5000 Mn
0.2500 0.7500 0.5000 Mn
0.0000 0.0000 0.0000 La
```

energy above the lowest structure with this stoichiometry = 0.000 eV per atom
DOS(E_F) = 4.01 states/eV/f.u.
formation energy = -0.255 eV/atom

---

Below is a geometry-optimized Co2AgCl structure, with properties calculated at the PBE-GGA level.

```
Co2AgCl
1.0
-2.5985 0.5759 -1.2220
-1.8002 -0.6953 3.5005
0.6091 5.9205 1.4950
Co Ag Cl
2 1 1
Direct
0.0000 0.7497 0.4306 Co
0.0000 0.7503 0.0694 Co
0.5000 0.2500 0.2500 Ag
0.5000 0.7500 0.7500 Cl
```

energy above the lowest structure with this stoichiometry = 0.168 eV per atom
DOS(E_F) = 4.51 states/eV/f.u.
raw formation energy = 0.37 eV per atom

---

Below is a geometry-optimized Ce2PmPrP4 structure, with properties calculated at the PBE-GGA level.

```
Ce2PmPrP4
1.0
-3.9109 1.2413 -0.4300
-1.5463 -2.6331 6.4623
1.0591 5.0496 4.9447
Pr Pm P Ce
1 1 4 2
Direct
0.5000 0.5000 0.0000 Pr
0.0000 0.5000 0.5000 Pm
0.5000 0.2429 0.7502 P
0.0000 0.7589 0.7449 P
0.0000 0.2411 0.2551 P
0.5000 0.7571 0.2498 P
0.0000 0.0000 0.0000 Ce
0.5000 0.0000 0.5000 Ce
```

DOS(E_F) = 9.47 states/eV/f.u.
formation energy = -1.527 eV/atom

---

Below is a geometry-optimized LaBeAl2Pd structure, with properties calculated at the PBE-GGA level.

```
LaBeAl2Pd
1.0
-4.4299 -3.4091 -1.5913
2.9880 -4.0907 0.4456
-1.5788 -0.5468 5.5665
Al La Pd Be
2 1 1 1
Direct
0.0000 0.0000 0.5000 Al
0.5000 0.0000 0.0000 Al
0.0000 0.0000 0.0000 La
0.0000 0.5000 0.0000 Pd
0.5000 0.5000 0.5000 Be
```

DOS(E_F) = 5.08 states/eV/f.u.
formation energy = 1.499 eV/atom

---

Below is a geometry-optimized ScNbIn2Ni structure, with properties calculated at the PBE-GGA level.

```
ScNbIn2Ni
1.0
-4.1004 -3.4315 0.3460
-0.1843 -0.2633 -4.7943
3.4428 -4.1045 0.0930
In Ni Nb Sc
2 1 1 1
Direct
0.0000 0.0000 0.5000 In
0.5000 0.0000 0.0000 In
0.5000 0.5000 0.5000 Ni
0.0000 0.0000 0.0000 Nb
0.0000 0.5000 0.0000 Sc
```

DOS(E_F) = 7.36 states/eV/f.u.
formation energy = 1.062 eV/atom

---

Below is a geometry-optimized Er4Co3 structure, with properties calculated at the PBE-GGA level.

```
Er4Co3
1.0
11.1515 0.0000 0.0000
-5.5757 9.6574 0.0000
0.0000 0.0000 3.9979
Co Er
9 12
Direct
0.2814 0.8442 0.7485 Co
0.7186 0.1558 0.2515 Co
0.4372 0.2814 0.2515 Co
0.0000 0.0000 0.5000 Co
0.8442 0.5628 0.2515 Co
0.5628 0.7186 0.7485 Co
0.1558 0.4372 0.7485 Co
0.6667 0.3333 0.2481 Co
0.3333 0.6667 0.7519 Co
0.0240 0.2465 0.2505 Er
0.4853 0.8649 0.2511 Er
0.5147 0.1351 0.7489 Er
0.2465 0.2226 0.7495 Er
0.1351 0.6205 0.2511 Er
0.2226 0.9760 0.2505 Er
0.6205 0.4853 0.7489 Er
0.7535 0.7774 0.2505 Er
0.9760 0.7535 0.7495 Er
0.7774 0.0240 0.7495 Er
0.3795 0.5147 0.2511 Er
0.8649 0.3795 0.7489 Er
```

DOS(E_F) = 5.14 states/eV/f.u.
formation energy = -0.210 eV/atom

---

Below is a geometry-optimized Pm3HoPa2N6 structure, with properties calculated at the PBE-GGA level.

```
Pm3HoPa2N6
1.0
-4.5638 -2.5940 -3.1565
2.4182 -2.8907 4.8287
-3.1651 4.4069 2.9312
N Pm Ho Pa
6 3 1 2
Direct
0.7300 0.7300 0.2212 N
0.0738 0.4180 0.2206 N
0.2700 0.2700 0.7788 N
0.4180 0.0738 0.2206 N
0.9262 0.5820 0.7794 N
0.5820 0.9262 0.7794 N
0.8344 0.1656 0.5000 Pm
0.5000 0.5000 0.5000 Pm
0.1656 0.8344 0.5000 Pm
0.0000 0.0000 0.0000 Ho
0.3333 0.6667 0.0000 Pa
0.6667 0.3333 0.0000 Pa
```

DOS(E_F) = 5.05 states/eV/f.u.
raw formation energy = -1.62 eV per atom

---

Below is a geometry-optimized La3Mg7Hg4 structure, with properties calculated at the PBE-GGA level.

```
La3Mg7Hg4
1.0
0.5318 -2.5163 4.1353
1.4759 -8.5881 -2.5481
8.9362 -2.4147 0.2491
Hg La Mg
4 3 7
Direct
0.3456 0.5322 0.7766 Hg
0.6544 0.4678 0.2234 Hg
0.8724 0.9115 0.3437 Hg
0.1276 0.0885 0.6563 Hg
0.0000 0.5000 0.5000 La
0.2992 0.1944 0.2071 La
0.7008 0.8056 0.7929 La
0.5045 0.8025 0.1885 Mg
0.6716 0.1768 0.4801 Mg
0.8443 0.3823 0.9292 Mg
0.0000 0.0000 0.0000 Mg
0.1557 0.6177 0.0708 Mg
0.3284 0.8232 0.5199 Mg
0.4955 0.1975 0.8115 Mg
```

DOS(E_F) = 12.80 states/eV/f.u.
formation energy = -0.324 eV/atom

---

Below is a geometry-optimized Nd5ScPt4 structure, with properties calculated at the PBE-GGA level.

```
Nd5ScPt4
1.0
-0.1176 2.2645 4.0005
-7.2877 -0.0658 -0.1770
5.3216 -8.0337 2.0611
Pt Nd Sc
4 5 1
Direct
0.9974 0.2167 0.9949 Pt
0.6445 0.9861 0.2889 Pt
0.0026 0.7833 0.0051 Pt
0.3555 0.0139 0.7111 Pt
0.1615 0.2629 0.3230 Nd
0.5000 0.5000 0.0000 Nd
0.8291 0.2269 0.6582 Nd
0.1709 0.7731 0.3418 Nd
0.8385 0.7371 0.6770 Nd
0.5000 0.0000 0.0000 Sc
```

DOS(E_F) = 8.59 states/eV/f.u.
formation energy = -0.886 eV/atom

---

Below is a geometry-optimized HfHg structure, with properties calculated at the PBE-GGA level.

```
HfHg
1.0
-4.8925 2.6955 -1.3766
-2.9526 -4.8258 1.0444
-0.6654 1.5947 5.4874
Hf Hg
4 4
Direct
0.0000 0.5000 0.5000 Hf
0.5000 0.0000 0.5000 Hf
0.0000 0.0000 0.0000 Hf
0.5000 0.5000 0.0000 Hf
0.5000 0.5000 0.5000 Hg
0.0000 0.0000 0.5000 Hg
0.5000 0.0000 0.0000 Hg
0.0000 0.5000 0.0000 Hg
```

DOS(E_F) = 3.96 states/eV/f.u.
formation energy = 0.395 eV/atom

---

Below is a geometry-optimized BePPb2 structure, with properties calculated at the PBE-GGA level.

```
BePPb2
1.0
3.6033 0.0000 0.0000
0.0000 3.6033 0.0000
0.0000 0.0000 6.8820
Be P Pb
1 1 2
Direct
0.5000 0.5000 0.2500 Be
0.5000 0.5000 0.7500 P
0.0000 0.0000 0.9997 Pb
0.0000 0.0000 0.5003 Pb
```

energy above the lowest structure with this stoichiometry = 0.628 eV per atom
DOS(E_F) = 0.81 states/eV/f.u.
formation energy = 0.617 eV/atom

---

Below is a geometry-optimized YGePt2 structure, with properties calculated at the PBE-GGA level.

```
YGePt2
1.0
5.5260 0.0000 0.0000
0.0000 7.1638 0.0000
0.0000 0.0000 14.9295
Pt Ge Y
16 8 8
Direct
0.9577 0.4475 0.2173 Pt
0.7385 0.9503 0.0313 Pt
0.7615 0.9503 0.5313 Pt
0.7615 0.5497 0.5313 Pt
0.2615 0.0497 0.9687 Pt
0.2385 0.4503 0.4687 Pt
0.2615 0.4503 0.9687 Pt
0.4577 0.9475 0.2827 Pt
0.9577 0.0525 0.2173 Pt
0.5423 0.4475 0.7173 Pt
0.0423 0.5525 0.7827 Pt
0.5423 0.0525 0.7173 Pt
0.7385 0.5497 0.0313 Pt
0.2385 0.0497 0.4687 Pt
0.4577 0.5525 0.2827 Pt
0.0423 0.9475 0.7827 Pt
0.0250 0.7500 0.9315 Ge
0.7456 0.7500 0.1820 Ge
0.5250 0.2500 0.5685 Ge
0.4750 0.7500 0.4315 Ge
0.2456 0.2500 0.3180 Ge
0.7544 0.7500 0.6820 Ge
0.9750 0.2500 0.0685 Ge
0.2544 0.2500 0.8180 Ge
0.5198 0.7500 0.8634 Y
0.7455 0.2500 0.8889 Y
0.2545 0.7500 0.1111 Y
0.9802 0.7500 0.3634 Y
0.2455 0.7500 0.6111 Y
0.4802 0.2500 0.1366 Y
0.7545 0.2500 0.3889 Y
0.0198 0.2500 0.6366 Y
```

DOS(E_F) = 1.95 states/eV/f.u.
formation energy = -1.019 eV/atom

---

Below is a geometry-optimized Na2Li2Ag15 structure, with properties calculated at the PBE-GGA level.

```
Na2Li2Ag15
1.0
7.3140 -0.0083 -0.0074
0.9406 7.2532 -0.0074
0.9406 0.8256 7.2061
Na Ag Li
2 15 2
Direct
0.3477 0.3477 0.3477 Na
0.6523 0.6523 0.6523 Na
0.6552 0.1557 0.6552 Ag
0.6552 0.6552 0.1557 Ag
0.6939 0.3061 0.0000 Ag
0.0000 0.6939 0.3061 Ag
0.5000 0.0000 0.0000 Ag
0.0000 0.0000 0.5000 Ag
0.8443 0.3448 0.3448 Ag
0.0000 0.3061 0.6939 Ag
0.6939 0.0000 0.3061 Ag
0.1557 0.6552 0.6552 Ag
0.0000 0.5000 0.0000 Ag
0.3061 0.6939 0.0000 Ag
0.3061 0.0000 0.6939 Ag
0.3448 0.3448 0.8443 Ag
0.3448 0.8443 0.3448 Ag
0.1004 0.1004 0.1004 Li
0.8996 0.8996 0.8996 Li
```

DOS(E_F) = 6.14 states/eV/f.u.
formation energy = -0.031 eV/atom

---

Below is a geometry-optimized Ac2MgRu2 structure, with properties calculated at the PBE-GGA level.

```
Ac2MgRu2
1.0
3.9763 0.0000 1.6938
1.2243 5.1359 2.6400
-0.1647 -0.1125 5.9007
Ac Ru Mg
2 2 1
Direct
0.7008 0.7992 0.2991 Ac
0.2992 0.2008 0.7009 Ac
0.0001 0.2343 0.2654 Ru
0.9999 0.7657 0.7346 Ru
0.5000 0.5000 0.0000 Mg
```

energy above the lowest structure with this stoichiometry = 0.002 eV per atom
DOS(E_F) = 2.98 states/eV/f.u.
formation energy = -0.102 eV/atom

---

Below is a geometry-optimized SrCa2Tl6 structure, with properties calculated at the PBE-GGA level.

```
SrCa2Tl6
1.0
-3.3219 0.2090 2.0270
-0.3056 -8.4969 4.1213
3.0040 -1.5288 8.8269
Tl Sr Ca
6 1 2
Direct
0.0000 0.8213 0.1787 Tl
0.8205 0.8559 0.5032 Tl
0.1795 0.4968 0.1441 Tl
0.1795 0.1441 0.4968 Tl
0.0000 0.1787 0.8213 Tl
0.8205 0.5032 0.8559 Tl
0.5000 0.5000 0.5000 Sr
0.6381 0.8619 0.8619 Ca
0.3619 0.1381 0.1381 Ca
```

DOS(E_F) = 4.55 states/eV/f.u.
formation energy = -0.249 eV/atom

---

Below is a geometry-optimized ThSn4Se7 structure, with properties calculated at the PBE-GGA level.

```
ThSn4Se7
1.0
4.1558 0.0000 0.0000
-2.0779 6.7459 -1.6915
0.0000 0.2838 12.9942
Sn Se Th
4 7 1
Direct
0.9830 0.9661 0.0012 Sn
0.3090 0.6181 0.1520 Sn
0.6535 0.3069 0.8233 Sn
0.1531 0.3062 0.4311 Sn
0.3443 0.6886 0.9451 Se
0.9519 0.9038 0.1964 Se
0.7671 0.5341 0.3635 Se
0.0132 0.0264 0.7975 Se
0.6239 0.2477 0.0360 Se
0.2740 0.5481 0.6339 Se
0.5325 0.0649 0.5509 Se
0.8945 0.7890 0.5692 Th
```

raw formation energy = -0.70 eV per atom

---

Below is a geometry-optimized Ho4ZnCo structure, with properties calculated at the PBE-GGA level.

```
Ho4ZnCo
1.0
7.6787 -0.0433 0.0000
-3.1404 7.0073 0.0000
-2.2692 -3.4820 6.4569
Co Ho Zn
2 8 2
Direct
0.7514 0.7514 0.0000 Co
0.5014 0.0014 0.5000 Co
0.1801 0.9761 0.2040 Ho
0.7168 0.5236 0.1932 Ho
0.3304 0.5236 0.8068 Ho
0.7721 0.9761 0.7960 Ho
0.2736 0.5804 0.3068 Ho
0.7261 0.4301 0.7040 Ho
0.7261 0.0221 0.2960 Ho
0.2736 0.9668 0.6932 Ho
0.2492 0.2492 0.0000 Zn
0.9992 0.4992 0.5000 Zn
```

energy above the lowest structure with this stoichiometry = 0.265 eV per atom
DOS(E_F) = 8.18 states/eV/f.u.
formation energy = 0.022 eV/atom

---

Below is a geometry-optimized YAgPt structure, with properties calculated at the PBE-GGA level.

```
YAgPt
1.0
-3.2384 0.2516 4.1185
2.2608 -6.0358 4.2043
1.5340 4.8899 5.2183
Ag Pt Y
4 4 4
Direct
0.5938 0.8512 0.5826 Ag
0.5938 0.3512 0.0826 Ag
0.4062 0.1488 0.4174 Ag
0.4062 0.6488 0.9174 Ag
0.7467 0.2931 0.6060 Pt
0.2533 0.2068 0.8940 Pt
0.7467 0.7932 0.1060 Pt
0.2533 0.7069 0.3940 Pt
0.9152 0.4951 0.2842 Y
0.0848 0.5049 0.7158 Y
0.0848 0.0049 0.2158 Y
0.9152 0.9951 0.7842 Y
```

energy above the lowest structure with this stoichiometry = 0.068 eV per atom
DOS(E_F) = 1.26 states/eV/f.u.
formation energy = -0.758 eV/atom

---

Below is a geometry-optimized Cr2InRe structure, with properties calculated at the PBE-GGA level.

```
Cr2InRe
1.0
7.0781 0.0000 0.0000
0.0000 7.0781 0.0000
3.5391 3.5391 2.6920
Cr In Re
4 2 2
Direct
0.0717 0.6250 0.2500 Cr
0.3750 0.3217 0.7500 Cr
0.8750 0.9283 0.7500 Cr
0.6783 0.1250 0.2500 Cr
0.5000 0.5000 0.0000 In
0.2500 0.7500 0.5000 In
0.0000 0.0000 0.0000 Re
0.7500 0.2500 0.5000 Re
```

DOS(E_F) = 3.80 states/eV/f.u.
formation energy = 0.913 eV/atom